(1)
Here is a geometry-optimized CaTe2OsN structure from Alexandria via LeMat-Bulk. Energies are from PBE.

Results
magnetic moment: 4.5 μB/f.u.
uncorrected formation energy: 1.709 eV/atom
DOS(E_F): 1.01 states/eV per atom
energy: -3.859 eV/atom

Cell: 5.724 5.724 4.196 Å, 90.00 90.00 90.00°
Sites, in units of the cell vectors:
Ca (0.000, 0.000, 0.000)
Te (0.000, 0.500, 0.000)
Te (0.500, 0.000, 0.000)
Os (0.500, 0.500, 0.500)
N (0.000, 0.000, 0.500)

---

(2)
Here is a geometry-optimized CsNaGaI3 structure from Alexandria via LeMat-Bulk. Energies are from PBE.

Results
magnetic moment: 0.0 μB/f.u.
uncorrected formation energy: -1.031 eV/atom
DOS(E_F): 0.00 states/eV per atom
energy: -2.673 eV/atom

Cell: 4.705 9.767 12.437 Å, 110.49 90.00 90.00°
Sites, in units of the cell vectors:
Cs (0.250, 0.245, 0.282)
Cs (0.750, 0.755, 0.718)
Na (0.250, 0.629, 0.150)
Na (0.750, 0.371, 0.850)
Ga (0.250, 0.090, 0.542)
Ga (0.750, 0.910, 0.458)
I (0.750, 0.894, 0.226)
I (0.250, 0.106, 0.774)
I (0.250, 0.682, 0.435)
I (0.750, 0.318, 0.565)
I (0.750, 0.394, 0.110)
I (0.250, 0.606, 0.890)

---

(3)
Here is a geometry-optimized BaPmS2O8 structure from Alexandria via LeMat-Bulk. Energies are from PBE.

Results
magnetic moment: 0.4 μB/f.u.
uncorrected formation energy: -2.044 eV/atom
DOS(E_F): 0.17 states/eV per atom
energy: -6.593 eV/atom

Cell: 5.269 5.269 8.415 Å, 90.00 90.00 120.00°
Sites, in units of the cell vectors:
Ba (0.000, 0.000, 0.500)
Pm (0.000, 0.000, 0.000)
S (0.333, 0.667, 0.727)
S (0.667, 0.333, 0.273)
O (0.179, 0.358, 0.784)
O (0.179, 0.821, 0.784)
O (0.642, 0.821, 0.784)
O (0.358, 0.179, 0.216)
O (0.667, 0.333, 0.450)
O (0.333, 0.667, 0.550)
O (0.821, 0.642, 0.216)
O (0.821, 0.179, 0.216)

---

(4)
Here is a geometry-optimized Rb2AgWBr6 structure from Alexandria via LeMat-Bulk. Energies are from PBE.

Results
magnetic moment: 3.0 μB/f.u.
uncorrected formation energy: -0.845 eV/atom
DOS(E_F): 0.00 states/eV per atom
energy: -3.623 eV/atom

Cell: 7.739 7.739 7.735 Å, 59.98 59.98 90.00°
Sites, in units of the cell vectors:
Rb (0.750, 0.250, 0.500)
Rb (0.250, 0.750, 0.500)
Br (0.239, 0.239, 0.522)
Br (0.761, 0.761, 0.478)
Br (0.239, 0.239, 0.000)
Br (0.761, 0.761, 0.000)
Br (0.761, 0.239, 0.000)
Br (0.239, 0.761, 0.000)
Ag (0.500, 0.500, 0.000)
W (0.000, 0.000, 0.000)

---

(5)
Here is a geometry-optimized Ba2Li3CeH12 structure from Alexandria via LeMat-Bulk. Energies are from PBE.

Results
magnetic moment: 0.0 μB/f.u.
DOS(E_F): 0.39 states/eV per atom
energy: -3.358 eV/atom

Cell: 6.634 6.634 6.634 Å, 61.27 61.27 61.27°
Sites, in units of the cell vectors:
Ba (0.607, 0.607, 0.607)
Ba (0.393, 0.393, 0.393)
Li (0.500, 0.000, 0.000)
Li (0.000, 0.500, 0.000)
Li (0.000, 0.000, 0.500)
Ce (0.000, 0.000, 0.000)
H (0.241, 0.241, 0.867)
H (0.867, 0.867, 0.409)
H (0.409, 0.867, 0.867)
H (0.867, 0.241, 0.241)
H (0.867, 0.409, 0.867)
H (0.241, 0.867, 0.241)
H (0.759, 0.759, 0.133)
H (0.133, 0.133, 0.591)
H (0.591, 0.133, 0.133)
H (0.133, 0.759, 0.759)
H (0.133, 0.591, 0.133)
H (0.759, 0.133, 0.759)

---

(6)
Here is a geometry-optimized LaAl2Cu3 structure from Alexandria via LeMat-Bulk. Energies are from PBE.

Results
magnetic moment: 0.0 μB/f.u.
energy relative to the elements: -389 meV/atom
DOS(E_F): 0.32 states/eV per atom
energy: -4.506 eV/atom

Cell: 5.249 5.249 4.230 Å, 90.00 90.00 118.07°
Sites, in units of the cell vectors:
La (0.000, 0.000, 0.000)
Al (0.500, 0.000, 0.500)
Al (0.000, 0.500, 0.500)
Cu (0.663, 0.337, 0.000)
Cu (0.337, 0.663, 0.000)
Cu (0.500, 0.500, 0.500)

---

(7)
Here is a geometry-optimized CaRu4Se structure from Alexandria via LeMat-Bulk. Energies are from PBE.

Results
magnetic moment: 1.6 μB/f.u.
uncorrected formation energy: 0.437 eV/atom
DOS(E_F): 1.60 states/eV per atom
energy: -6.661 eV/atom

Cell: 5.262 5.262 5.262 Å, 60.00 60.00 60.00°
Sites, in units of the cell vectors:
Ca (0.000, 0.000, 0.000)
Ru (0.872, 0.376, 0.376)
Ru (0.376, 0.376, 0.872)
Ru (0.376, 0.872, 0.376)
Ru (0.376, 0.376, 0.376)
Se (0.750, 0.750, 0.750)

---

(8)
Here is a geometry-optimized Be2SiIr structure from Alexandria via LeMat-Bulk. Energies are from PBE.

Results
magnetic moment: 0.0 μB/f.u.
uncorrected formation energy: -0.365 eV/atom
DOS(E_F): 0.27 states/eV per atom
energy: -5.799 eV/atom

Cell: 4.334 4.334 3.525 Å, 66.01 66.01 47.96°
Sites, in units of the cell vectors:
Be (0.000, 0.000, 0.000)
Be (0.500, 0.500, 0.500)
Si (0.250, 0.250, 0.250)
Ir (0.750, 0.750, 0.750)